Entry 1
A plane-wave DFT calculation with PBE was carried out for a geometry-optimized B2C structure.

a b c (Å): 2.4475 8.4374 4.1390
angles (deg): 90.00 90.00 90.00
Last column: nearest neighbours and their distance in Å.
Element x y z (fractional)
B: 0.0000 0.0906 0.0889  4 B 1.70-1.81
B: 0.0000 0.2750 0.9116  1 C 1.63, 3 B 1.72-1.81
B: 0.0000 0.7250 0.0884  1 C 1.63, 3 B 1.72-1.81
B: 0.0000 0.9094 0.9111  4 B 1.70-1.81
B: 0.5000 0.0906 0.4111  4 B 1.70-1.81
B: 0.5000 0.2750 0.5884  1 C 1.63, 3 B 1.72-1.81
B: 0.5000 0.7250 0.4116  1 C 1.63, 3 B 1.72-1.81
B: 0.5000 0.9094 0.5889  4 B 1.70-1.81
C: 0.0000 0.4314 0.1444  3 C 1.50-1.66, 1 B 1.63
C: 0.0000 0.5686 0.8556  3 C 1.50-1.66, 1 B 1.63
C: 0.5000 0.4314 0.3556  3 C 1.50-1.66, 1 B 1.63
C: 0.5000 0.5686 0.6444  3 C 1.50-1.66, 1 B 1.63

=====

Entry 2
A plane-wave DFT calculation with PBE was carried out for a geometry-optimized B2C structure.

a b c (Å): 6.1573 6.1573 5.6055
angles (deg): 107.46 107.46 24.63
Last column: nearest neighbours and their distance in Å.
Element x y z (fractional)
B: 0.0202 0.0202 0.1598  1 C 1.57, 1 B 1.71
B: 0.2994 0.2994 0.5525  4 B 1.75-1.88
B: 0.3761 0.3761 0.3072  3 C 1.62
B: 0.3806 0.3806 0.8743  1 C 1.60, 1 B 1.77
B: 0.6194 0.6194 0.1257  1 C 1.60, 1 B 1.77
B: 0.6239 0.6239 0.6928  3 C 1.62
B: 0.7006 0.7006 0.4475  4 B 1.75-1.88
B: 0.9798 0.9798 0.8402  1 C 1.57, 1 B 1.71
C: 0.0406 0.0406 0.6302  1 C 1.49, 3 B 1.57-1.62
C: 0.2864 0.2864 0.0236  2 C 1.56, 2 B 1.60-1.62
C: 0.7136 0.7136 0.9764  2 C 1.56, 2 B 1.60-1.62
C: 0.9594 0.9594 0.3698  1 C 1.49, 3 B 1.57-1.62

=====

Least stable: entry 1

=====

Entry 1
A plane-wave DFT calculation with PBE was carried out for a geometry-optimized NaCuBi structure.

a b c (Å): 3.8248 3.8248 10.6008
angles (deg): 90.00 90.00 90.00
Last column: nearest neighbours and their distance in Å.
Element x y z (fractional)
Na: 0.0000 0.0000 0.0000  1 Cu 2.97, 1 Bi 3.10
Na: 0.5000 0.5000 0.5000  1 Cu 2.97, 1 Bi 3.10
Cu: 0.0000 0.0000 0.2799  4 Bi 2.81, 1 Na 2.97
Cu: 0.5000 0.5000 0.7799  4 Bi 2.81, 1 Na 2.97
Bi: 0.0000 0.0000 0.7074  4 Cu 2.81, 1 Na 3.10
Bi: 0.5000 0.5000 0.2074  4 Cu 2.81, 1 Na 3.10

=====

Entry 2
A plane-wave DFT calculation with PBE was carried out for a geometry-optimized NaCuBi structure.

a b c (Å): 4.3372 5.8156 6.3597
angles (deg): 93.70 107.74 91.66
Last column: nearest neighbours and their distance in Å.
Element x y z (fractional)
Na: 0.1227 0.3525 0.2538  2 Cu 2.89-3.22
Na: 0.8773 0.6475 0.7462  2 Cu 2.89-3.22
Cu: 0.2182 0.9084 0.4380  2 Cu 2.50-2.51, 3 Bi 2.70-2.73
Cu: 0.7818 0.0916 0.5620  2 Cu 2.50-2.51, 3 Bi 2.70-2.73
Bi: 0.4023 0.1956 0.8173  3 Cu 2.70-2.73
Bi: 0.5977 0.8044 0.1827  3 Cu 2.70-2.73

=====

Least stable: entry 1

=====

Entry 1
A plane-wave DFT calculation with PBE was carried out for a geometry-optimized YNi2W structure.

a b c (Å): 3.0022 3.0022 25.5137
angles (deg): 90.00 90.00 120.00
Last column: nearest neighbours and their distance in Å.
Element x y z (fractional)
Y: 0.0000 0.0000 0.0000  6 Ni 2.94, 6 Y 3.00
Y: 0.3333 0.6667 0.6667  6 Ni 2.94, 6 Y 3.00
Y: 0.6667 0.3333 0.3333  6 Ni 2.94, 6 Y 3.00
Ni: 0.0000 0.0000 0.2401  3 W 2.55
Ni: 0.0000 0.0000 0.7599  3 W 2.55
Ni: 0.3333 0.6667 0.4266  3 W 2.55
Ni: 0.3333 0.6667 0.9068  3 W 2.55
Ni: 0.6667 0.3333 0.0932  3 W 2.55
Ni: 0.6667 0.3333 0.5734  3 W 2.55
W: 0.0000 0.0000 0.5000  6 Ni 2.55
W: 0.3333 0.6667 0.1667  6 Ni 2.55
W: 0.6667 0.3333 0.8333  6 Ni 2.55

=====

Entry 2
A plane-wave DFT calculation with PBE was carried out for a geometry-optimized YNi2W structure.

a b c (Å): 4.1645 4.1645 14.4639
angles (deg): 90.00 90.00 120.00
Last column: nearest neighbours and their distance in Å.
Element x y z (fractional)
Y: 0.0000 0.0000 0.0000  8 Ni 2.86-3.10
Y: 0.3333 0.6667 0.6667  8 Ni 2.86-3.10
Y: 0.6667 0.3333 0.3333  8 Ni 2.86-3.10
Ni: 0.0000 0.0000 0.1980  3 W 2.45, 3 Ni 2.57
Ni: 0.0000 0.0000 0.8020  3 W 2.45, 3 Ni 2.57
Ni: 0.3333 0.6667 0.4687  3 W 2.45, 3 Ni 2.57
Ni: 0.3333 0.6667 0.8647  3 W 2.45, 3 Ni 2.57
Ni: 0.6667 0.3333 0.1353  3 W 2.45, 3 Ni 2.57
Ni: 0.6667 0.3333 0.5313  3 W 2.45, 3 Ni 2.57
W: 0.0000 0.0000 0.5000  6 Ni 2.45
W: 0.3333 0.6667 0.1667  6 Ni 2.45
W: 0.6667 0.3333 0.8333  6 Ni 2.45

=====

Least stable: entry 1